Entry from Alexandria: Ba2ZrMnTe5 after structural relaxation (PBE).

Output
As for the density: 5741 kg/m3. The uncorrected formation energy is -101.9 kJ per mole of atoms. For the total magnetization, the calculation gives 3.053 μB per formula unit.

Unit cell a=4.659 b=13.209 c=10.221 alpha=90.00 beta=103.17 gamma=90.00
Fractional positions:
Ba 0.112 0.000 0.224
Ba 0.120 0.626 0.240
Ba 0.880 0.126 0.760
Ba 0.888 0.500 0.776
Zr 0.201 0.319 0.402
Zr 0.799 0.819 0.598
Mn 0.400 0.839 0.801
Mn 0.600 0.339 0.199
Te 0.053 0.273 0.105
Te 0.293 0.966 0.586
Te 0.309 0.679 0.618
Te 0.346 0.311 0.692
Te 0.482 0.005 0.965
Te 0.518 0.505 0.035
Te 0.654 0.811 0.308
Te 0.691 0.179 0.382
Te 0.707 0.466 0.414
Te 0.947 0.773 0.895